[1]
Below is a relaxed structure of NdInGa, with properties calculated at the GGA-PBE level.

Lattice parameters (Å, degrees): 3.542 3.542 11.991 90.00 90.00 90.00
Space group I4mm (No. 107)
Inequivalent atoms, fractional coordinates:
Nd 0.000 0.000 0.000 [2 per cell]
In 0.000 0.000 0.695 [2 per cell]
Ga 0.000 0.000 0.331 [2 per cell]


[2]
Below is a relaxed structure of CeCu2Ni3, with properties calculated at the GGA-PBE level.

Lattice parameters (Å, degrees): 8.812 8.281 4.834 90.00 90.00 90.00
Space group Cmcm (No. 63)
Inequivalent atoms, fractional coordinates:
Ce 0.000 0.212 0.250 [4 per cell]
Cu 0.241 0.500 0.000 [8 per cell]
Ni 0.000 0.460 0.750 [4 per cell]
Ni 0.175 0.240 0.750 [8 per cell]


[3]
Below is a relaxed structure of Ce2NbGa, with properties calculated at the GGA-PBE level.

Lattice parameters (Å, degrees): 3.0379 3.0379 33.1348 90.00 90.00 120.00
Space group R-3m (No. 166, hexagonal axes)
Inequivalent atoms, fractional coordinates:
Ce 0.0000 0.0000 0.0863 [6 per cell]
Nb 0.0000 0.0000 0.0000 [3 per cell]
Ga 0.0000 0.0000 0.5000 [3 per cell]


[4]
Below is a relaxed structure of LiAl2Ag5, with properties calculated at the GGA-PBE level.

Lattice parameters (Å, degrees): 4.393 9.114 13.621 90.00 90.00 90.00
Space group Cmcm (No. 63)
Inequivalent atoms, fractional coordinates:
Li 0.000 0.225 0.250 [4 per cell]
Al 0.000 0.242 0.640 [8 per cell]
Ag 0.000 0.053 0.099 [8 per cell]
Ag 0.000 0.357 0.052 [8 per cell]
Ag 0.000 0.486 0.750 [4 per cell]


[5]
Below is a relaxed structure of TcOs2, with properties calculated at the GGA-PBE level.

Lattice parameters (Å, degrees): 2.734 3.855 8.210 90.00 90.00 90.00
Space group Immm (No. 71)
Inequivalent atoms, fractional coordinates:
Tc 0.000 0.000 0.000 [2 per cell]
Os 0.000 0.000 0.333 [4 per cell]


| no. | magnetic moment (μB/atom) | raw total energy (eV per atom) | ΔE_f (eV/atom) |
| --- | --- | --- | --- |
| 1 | 0.0000 | -3.857 | -0.346 |
| 2 | 0.0000 | -5.398 | -0.153 |
| 3 | 0.0001 | -6.067 | 0.174 |
| 4 | 0.0000 | -3.002 | -0.045 |
| 5 | 0.0000 | -10.861 | 0.081 |